(1)
An optimized crystal structure of LiScI2. Source: the Alexandria database, functional GGA-PBEsol.

Output
The calculation puts the raw formation energy at -0.613 eV/atom. For the energy above the most stable polymorph in this dataset, the calculation gives 0 meV/atom. The space group is No. 225. The spin magnetization comes out at 1.55 Bohr magnetons per cell.

a b c (Å): 5.182 5.182 5.182
angles (deg): 60.00 60.00 60.00
Element x y z (fractional)
Li (0.000, 0.000, 0.000)
Sc (0.500, 0.500, 0.500)
I (0.750, 0.750, 0.750)
I (0.250, 0.250, 0.250)



(2)
An optimized crystal structure of In2TcRh. Source: the Alexandria database, functional GGA-PBEsol.

Output
For the energy above the most stable polymorph in this dataset, the calculation gives 220 meV/atom. The space group is No. 10. The spin magnetization comes out at 0.00 Bohr magnetons per cell. The formation energy comes out at 21 kJ per mole of atoms.

a b c (Å): 2.866 4.354 5.460
angles (deg): 90.00 94.96 90.00
Element x y z (fractional)
In (0.708, 0.000, 0.751)
In (0.292, 0.000, 0.249)
Tc (0.000, 0.500, 0.500)
Rh (0.500, 0.500, 0.000)



(3)
An optimized crystal structure of Mn2SI. Source: the Alexandria database, functional GGA-PBEsol.

Output
The calculation puts the raw formation energy at 0.467 eV/atom. The space group is No. 225. The spin magnetization comes out at 8.18 Bohr magnetons per cell.

a b c (Å): 4.672 4.672 4.672
angles (deg): 60.00 60.00 60.00
Element x y z (fractional)
Mn (0.250, 0.250, 0.250)
I (0.500, 0.500, 0.500)
S (0.000, 0.000, 0.000)
Mn (0.750, 0.750, 0.750)